[1]
A plane-wave DFT calculation with GGA-PBE was carried out for a relaxed Nd5HoHg6 crystal.

Computed properties:
formation energy from the elements: -5.6 eV/f.u.
DOS(E_F): 1.138 states/eV/atom
SG: P2/m, No. 10
ρ: 10.400 g/cm³

Cell and atoms, written as extended XYZ:
```
12
Lattice="5.3768 0.0000 0.0000 0.0000 7.6710 0.0000 -2.6645 0.0000 8.0895" Properties=species:S:1:pos:R:3 pbc="T T T"
Nd 0.0000 0.0000 0.0000
Nd 0.0160 0.0000 5.3568
Nd 0.0160 3.8355 5.3937
Nd 2.6963 3.8355 2.6957
Nd 2.6963 0.0000 2.7326
Ho 0.0000 3.8355 0.0000
Hg 0.0077 1.9584 2.6262
Hg 0.0077 5.7126 2.6262
Hg 2.6884 1.9854 0.0000
Hg 2.6884 5.6856 0.0000
Hg 2.7047 1.9584 5.4632
Hg 2.7047 5.7126 5.4632
```

[2]
A plane-wave DFT calculation with GGA-PBE was carried out for a relaxed PaNi15Sn4 crystal.

Computed properties:
formation energy from the elements: -4.8 eV/f.u.
DOS(E_F): 0.289 states/eV/atom
SG: P4/mmm, No. 123
ρ: 9.912 g/cm³

Cell and atoms, written as extended XYZ:
```
20
Lattice="3.7737 0.0000 0.0000 0.0000 3.7737 0.0000 0.0000 0.0000 18.6601" Properties=species:S:1:pos:R:3 pbc="T T T"
Pa 0.0000 0.0000 0.0000
Ni 0.0000 1.8869 1.8940
Ni 0.0000 1.8869 5.6374
Ni 0.0000 1.8869 9.3301
Ni 0.0000 1.8869 13.0227
Ni 0.0000 1.8869 16.7661
Ni 1.8869 0.0000 1.8940
Ni 1.8869 0.0000 5.6374
Ni 1.8869 0.0000 9.3301
Ni 1.8869 0.0000 13.0227
Ni 1.8869 0.0000 16.7661
Ni 1.8869 1.8869 0.0000
Ni 1.8869 1.8869 3.7732
Ni 1.8869 1.8869 7.4758
Ni 1.8869 1.8869 11.1843
Ni 1.8869 1.8869 14.8869
Sn 0.0000 0.0000 3.8202
Sn 0.0000 0.0000 7.4938
Sn 0.0000 0.0000 11.1663
Sn 0.0000 0.0000 14.8399
```

[3]
A plane-wave DFT calculation with GGA-PBE was carried out for a relaxed SbS2NCl crystal.

Computed properties:
DOS(E_F): 1.295 states/eV/atom
formation energy from raw total energies: 1.230 eV per atom
SG: P4/mmm, No. 123
ρ: 2.898 g/cm³

Cell and atoms, written as extended XYZ:
```
5
Lattice="5.0358 0.0000 0.0000 0.0000 5.0358 0.0000 0.0000 0.0000 5.3185" Properties=species:S:1:pos:R:3 pbc="T T T"
Sb 0.0000 0.0000 0.0000
S 0.0000 2.5179 0.0000
S 2.5179 0.0000 0.0000
N 2.5179 2.5179 2.6593
Cl 0.0000 0.0000 2.6593
```

[4]
A plane-wave DFT calculation with GGA-PBE was carried out for a relaxed CdGe2HO6 crystal.

Computed properties:
DOS(E_F): 0.535 states/eV/atom
total DFT energy (no corrections): -5.483 eV per atom
SG: C2/c, No. 15
ρ: 4.683 g/cm³

Cell and atoms, written as extended XYZ:
```
20
Lattice="5.3313 -4.9695 0.0000 5.3313 4.9695 0.0000 -2.1380 0.0000 4.7472" Properties=species:S:1:pos:R:3 pbc="T T T"
Cd 3.7278 3.7253 3.5604
Cd 4.7968 -3.7253 1.1868
Ge 1.6412 0.8441 3.9312
Ge 2.7102 -0.8441 1.5576
Ge 5.8145 0.8441 3.1896
Ge 6.8835 -0.8441 0.8160
H 4.7968 2.2101 1.1868
H 3.7278 -2.2101 3.5604
O 0.0036 0.7772 3.2506
O 4.3864 2.2800 0.0174
O 1.0726 -0.7772 0.8770
O 2.7639 0.6324 2.5574
O 5.2073 2.2800 2.3562
O 3.8330 -0.6324 0.1838
O 4.6917 0.6324 4.5634
O 3.3174 -2.2800 2.3910
O 5.7607 -0.6324 2.1898
O 7.4520 0.7772 3.8702
O 4.1383 -2.2800 4.7298
O 8.5210 -0.7772 1.4966
```

[5]
A plane-wave DFT calculation with GGA-PBE was carried out for a relaxed Cr4MoSe crystal.

Computed properties:
DOS(E_F): 1.204 states/eV/atom
formation energy from raw total energies: 0.400 eV per atom
SG: F-43m, No. 216
ρ: 7.976 g/cm³

Cell and atoms, written as extended XYZ:
```
6
Lattice="0.0000 3.4159 3.4159 3.4159 0.0000 3.4159 3.4159 3.4159 0.0000" Properties=species:S:1:pos:R:3 pbc="T T T"
Cr 0.8512 0.8512 0.8512
Cr 2.5646 2.5646 0.8512
Cr 2.5646 0.8512 2.5646
Cr 0.8512 2.5646 2.5646
Mo 3.4159 3.4159 3.4159
Se 5.1238 5.1238 5.1238
```

[6]
A plane-wave DFT calculation with GGA-PBE was carried out for a relaxed CePmCo2 crystal.

Computed properties:
formation energy from the elements: -0.1 eV/f.u.
DOS(E_F): 1.068 states/eV/atom
SG: Fm-3m, No. 225
ρ: 8.592 g/cm³

Cell and atoms, written as extended XYZ:
```
4
Lattice="0.0000 3.3895 3.3895 3.3895 0.0000 3.3895 3.3895 3.3895 0.0000" Properties=species:S:1:pos:R:3 pbc="T T T"
Ce 0.0000 0.0000 0.0000
Pm 3.3895 3.3895 3.3895
Co 1.6947 1.6947 1.6947
Co 5.0842 5.0842 5.0842
```

[7]
A plane-wave DFT calculation with GGA-PBE was carried out for a relaxed Ta2PdS6 crystal.

Computed properties:
DOS(E_F): 0.181 states/eV/atom
formation energy from raw total energies: -0.842 eV per atom
SG: C2/m, No. 12
ρ: 5.462 g/cm³

Cell and atoms, written as extended XYZ:
```
9
Lattice="6.7243 -1.6430 0.0000 6.7243 1.6430 0.0000 -5.4948 0.0000 9.0902" Properties=species:S:1:pos:R:3 pbc="T T T"
Ta 0.8186 0.0000 2.6772
Ta 7.1353 0.0000 6.4130
Pd 6.7243 0.0000 0.0000
S -0.6418 0.0000 4.8551
S -0.7843 0.0000 7.8576
S 2.2223 0.0000 6.9473
S 5.7316 0.0000 2.1429
S 8.7382 0.0000 1.2326
S 8.5956 0.0000 4.2351
```

[8]
A plane-wave DFT calculation with GGA-PBE was carried out for a relaxed Rb2HfRh crystal.

Computed properties:
formation energy from the elements: 6.7 eV/f.u.
DOS(E_F): 1.320 states/eV/atom
SG: Fm-3m, No. 225
ρ: 5.871 g/cm³

Cell and atoms, written as extended XYZ:
```
4
Lattice="0.0000 3.9993 3.9993 3.9993 0.0000 3.9993 3.9993 3.9993 0.0000" Properties=species:S:1:pos:R:3 pbc="T T T"
Rb 1.9996 1.9996 1.9996
Rb 5.9989 5.9989 5.9989
Hf 0.0000 0.0000 0.0000
Rh 3.9993 3.9993 3.9993
```